A relaxed AgB2S4 crystal. Source: Alexandria, functional PBE.

The value obtained for the formation energy without anion corrections is -33.6 meV/atom. For the density of states at the Fermi level, the calculation gives 3.91 states/eV per cell.

The structure belongs to space group P-1 (No. 2); the cell edges are 7.1199, 7.5298 and 7.6837 Å and the angles 94.64°, 94.01° and 91.06°. The distinct sites, in fractional coordinates, are Ag at (0.2192, 0.2264, 0.2430), B at (0.0000, 0.0000, 0.5000), B at (0.0000, 0.5000, 0.0000), B at (0.0000, 0.5000, 0.5000), B at (0.5000, 0.0000, 0.0000), S at (0.1949, 0.3836, 0.9646), S at (0.2163, 0.5212, 0.4284), S at (0.2311, 0.0542, 0.5130) and S at (0.2903, 0.9385, 0.0666).

***

A relaxed AgBS2 crystal. Source: Alexandria, functional PBE.

The value obtained for the formation energy without anion corrections is -94.8 meV/atom. For the density of states at the Fermi level, the calculation gives 0.00 states/eV per cell.

The structure belongs to space group R-3m (No. 166, hexagonal axes); the cell edges are 4.2790, 4.2790 and 17.7143 Å and the angles 90.00°, 90.00° and 120.00°. The distinct sites, in fractional coordinates, are Ag at (0.0000, 0.0000, 0.0000), B at (0.0000, 0.0000, 0.5000) and S at (0.0000, 0.0000, 0.4051).